# 1
First-principles (PBE) data for an optimized crystal structure of RbUN2, as listed in Alexandria via LeMat-Bulk.

abc: 3.5554 3.5554 7.0966
angles: 75.49 75.49 60.00
Fractional coordinates of all 4 atoms:
N  0.2850  0.2850  0.1451
Rb  0.4968  0.4968  0.5096
N  0.0510  0.0510  0.8470
U  0.6672  0.6672  0.9983

* theoretical density: 7.85 g cm⁻³
* raw formation energy: -889.6 meV/atom
* space group: No. 160

---

# 2
First-principles (PBE) data for an optimized crystal structure of ErBiSe3, as listed in Alexandria via LeMat-Bulk.

abc: 7.1464 7.0211 7.0211
angles: 120.00 90.00 90.00
Fractional coordinates of all 10 atoms:
Bi  0.5000  0.6667  0.3333
Se  0.7500  0.3208  0.3209
Er  0.5000  0.0000  0.0000
Er  0.0000  0.0000  0.0000
Se  0.7500  0.6791  0.9999
Bi  0.0000  0.6667  0.3333
Se  0.2500  0.6791  0.6792
Se  0.2500  0.0001  0.3209
Se  0.7500  0.0001  0.6792
Se  0.2500  0.3208  0.9999

* theoretical density: 6.67 g cm⁻³
* raw formation energy: -1012.3 meV/atom
* space group: No. 188

---

# 3
First-principles (PBE) data for an optimized crystal structure of IrPt2Cl, as listed in Alexandria via LeMat-Bulk.

abc: 4.4910 4.4911 4.4888
angles: 120.12 120.11 89.96
Fractional coordinates of all 4 atoms:
Cl  0.5002  0.4998  0.0000
Pt  0.2496  0.7504  0.5000
Pt  0.9999  0.0001  0.0000
Ir  0.7503  0.2497  0.5000

* theoretical density: 16.08 g cm⁻³
* raw formation energy: 805.6 meV/atom
* space group: No. 5